Arrangement A

A plane-wave DFT calculation with SCAN was carried out for a PBEsol-optimized structure of AgRu2W.

Calculated values
symmetry	R-3m

a = 9.154 Å, b = 9.154 Å, c = 9.154 Å
α = 17.30°, β = 17.30°, γ = 17.30°
Fractional coordinates of all 4 atoms:
Ag1 0.000 0.000 0.000
Ru1 0.245 0.245 0.245
Ru2 0.755 0.755 0.755
W1 0.500 0.500 0.500



Arrangement B

A plane-wave DFT calculation with SCAN was carried out for a PBEsol-optimized structure of AgRu2W.

Calculated values
symmetry	C2/m

a = 5.242 Å, b = 5.242 Å, c = 2.675 Å
α = 103.61°, β = 103.61°, γ = 116.49°
Fractional coordinates of all 4 atoms:
Ag1 0.000 0.000 0.000
Ru1 0.000 0.500 0.500
Ru2 0.500 0.000 0.500
W1 0.500 0.500 0.000



Taking the most stable structure as the zero point, the relative energies in eV/atom are arrangement A 0.000; arrangement B 0.361.



Arrangement A

A plane-wave DFT calculation with SCAN was carried out for a PBEsol-optimized structure of YAgRu2.

Calculated values
symmetry	Pmm2

a = 2.937 Å, b = 3.826 Å, c = 6.047 Å
α = 90.00°, β = 90.00°, γ = 90.00°
Fractional coordinates of all 4 atoms:
Y1 0.000 0.000 0.000
Ag1 0.500 0.500 0.285
Ru1 0.000 0.000 0.549
Ru2 0.500 0.500 0.722



Arrangement B

A plane-wave DFT calculation with SCAN was carried out for a PBEsol-optimized structure of YAgRu2.

Calculated values
symmetry	P4/mmm

a = 3.386 Å, b = 3.386 Å, c = 5.972 Å
α = 90.00°, β = 90.00°, γ = 90.00°
Fractional coordinates of all 4 atoms:
Y1 0.000 0.000 0.000
Ag1 0.000 0.000 0.500
Ru1 0.500 0.500 0.280
Ru2 0.500 0.500 0.720



Taking the most stable structure as the zero point, the relative energies in eV/atom are arrangement A 0.000; arrangement B 0.250.



Arrangement A

A plane-wave DFT calculation with SCAN was carried out for a PBEsol-optimized structure of ZrAg2Ru.

Calculated values
symmetry	P4/mmm

a = 2.804 Å, b = 2.804 Å, c = 8.502 Å
α = 90.00°, β = 90.00°, γ = 90.00°
Fractional coordinates of all 4 atoms:
Zr1 0.000 0.000 0.000
Ag1 0.500 0.500 0.265
Ag2 0.500 0.500 0.735
Ru1 0.000 0.000 0.500



Arrangement B

A plane-wave DFT calculation with SCAN was carried out for a PBEsol-optimized structure of ZrAg2Ru.

Calculated values
symmetry	P4/mmm

a = 3.815 Å, b = 3.815 Å, c = 4.497 Å
α = 90.00°, β = 90.00°, γ = 90.00°
Fractional coordinates of all 4 atoms:
Zr1 0.000 0.000 0.000
Ag1 0.000 0.500 0.500
Ag2 0.500 0.000 0.500
Ru1 0.500 0.500 0.000



Taking the most stable structure as the zero point, the relative energies in eV/atom are arrangement A 0.487; arrangement B 0.000.



Arrangement A

A plane-wave DFT calculation with SCAN was carried out for a PBEsol-optimized structure of AgSb3.

Calculated values
symmetry	Pmmm

a = 3.188 Å, b = 3.867 Å, c = 7.749 Å
α = 90.00°, β = 90.00°, γ = 90.00°
Fractional coordinates of all 4 atoms:
Ag1 0.000 0.000 0.000
Sb1 0.000 0.000 0.500
Sb2 0.500 0.500 0.222
Sb3 0.500 0.500 0.778



Arrangement B

A plane-wave DFT calculation with SCAN was carried out for a PBEsol-optimized structure of AgSb3.

Calculated values
symmetry	Imm2

a = 6.529 Å, b = 6.529 Å, c = 6.529 Å
α = 152.76°, β = 60.29°, γ = 127.33°
Fractional coordinates of all 4 atoms:
Ag1 0.000 0.000 0.000
Sb1 0.027 0.720 0.307
Sb2 0.413 0.720 0.693
Sb3 0.567 0.067 0.500



Arrangement C

A plane-wave DFT calculation with SCAN was carried out for a PBEsol-optimized structure of AgSb3.

Calculated values
symmetry	R-3m

a = 7.108 Å, b = 7.108 Å, c = 7.108 Å
α = 34.34°, β = 34.34°, γ = 34.34°
Fractional coordinates of all 4 atoms:
Ag1 0.000 0.000 0.000
Sb1 0.260 0.260 0.260
Sb2 0.500 0.500 0.500
Sb3 0.740 0.740 0.740



Arrangement D

A plane-wave DFT calculation with SCAN was carried out for a PBEsol-optimized structure of AgSb3.

Calculated values
symmetry	I4/mmm

a = 5.156 Å, b = 5.156 Å, c = 5.156 Å
α = 120.48°, β = 120.48°, γ = 89.17°
Fractional coordinates of all 4 atoms:
Ag1 0.000 0.000 0.000
Sb1 0.250 0.750 0.500
Sb2 0.500 0.500 0.000
Sb3 0.750 0.250 0.500



Taking the most stable structure as the zero point, the relative energies in eV/atom are arrangement A 0.187; arrangement B 0.119; arrangement C 0.000; arrangement D 0.234.



Arrangement A

A plane-wave DFT calculation with SCAN was carried out for a PBEsol-optimized structure of AgSb2W.

Calculated values
symmetry	Amm2

a = 4.500 Å, b = 5.418 Å, c = 5.418 Å
α = 37.03°, β = 90.00°, γ = 90.00°
Fractional coordinates of all 4 atoms:
Ag1 0.000 0.000 0.000
Sb1 0.000 0.736 0.736
Sb2 0.500 0.451 0.451
W1 0.500 0.168 0.168



Arrangement B

A plane-wave DFT calculation with SCAN was carried out for a PBEsol-optimized structure of AgSb2W.

Calculated values
symmetry	I-4m2

a = 5.584 Å, b = 5.584 Å, c = 5.584 Å
α = 137.34°, β = 137.34°, γ = 61.92°
Fractional coordinates of all 4 atoms:
Ag1 0.000 0.000 0.000
Sb1 0.500 0.500 0.000
Sb2 0.750 0.250 0.500
W1 0.250 0.750 0.500



Taking the most stable structure as the zero point, the relative energies in eV/atom are arrangement A 0.000; arrangement B 0.310.



Arrangement A

A plane-wave DFT calculation with SCAN was carried out for a PBEsol-optimized structure of Sc5Ag3.

Calculated values
symmetry	P6_3/mcm

a = 8.303 Å, b = 8.303 Å, c = 5.496 Å
α = 90.00°, β = 90.00°, γ = 120.00°
Fractional coordinates of all 16 atoms:
Sc1 0.000 0.237 0.250
Sc2 0.000 0.763 0.750
Sc3 0.237 0.000 0.250
Sc4 0.237 0.237 0.750
Sc5 0.333 0.667 0.000
Sc6 0.333 0.667 0.500
Sc7 0.667 0.333 0.000
Sc8 0.667 0.333 0.500
Sc9 0.763 0.000 0.750
Sc10 0.763 0.763 0.250
Ag1 0.000 0.403 0.750
Ag2 0.000 0.597 0.250
Ag3 0.403 0.000 0.750
Ag4 0.403 0.403 0.250
Ag5 0.597 0.000 0.250
Ag6 0.597 0.597 0.750



Arrangement B

A plane-wave DFT calculation with SCAN was carried out for a PBEsol-optimized structure of Sc5Ag3.

Calculated values
symmetry	I4/mcm

a = 8.216 Å, b = 8.216 Å, c = 8.216 Å
α = 96.40°, β = 96.40°, γ = 141.00°
Fractional coordinates of all 16 atoms:
Sc1 0.080 0.783 0.863
Sc2 0.217 0.080 0.297
Sc3 0.250 0.750 0.500
Sc4 0.283 0.580 0.863
Sc5 0.420 0.283 0.703
Sc6 0.580 0.717 0.297
Sc7 0.717 0.420 0.137
Sc8 0.750 0.250 0.500
Sc9 0.783 0.920 0.703
Sc10 0.920 0.217 0.137
Ag1 0.164 0.336 0.500
Ag2 0.250 0.250 0.000
Ag3 0.336 0.836 0.172
Ag4 0.664 0.164 0.828
Ag5 0.750 0.750 0.000
Ag6 0.836 0.664 0.500



Taking the most stable structure as the zero point, the relative energies in eV/atom are arrangement A 0.000; arrangement B 0.020.